{"formula": "RbTaO2", "functional": "PBE-GGA", "state": "optimized geometry", "cell": [[-0.985, 7.499, 1.943], [1.118, 6.383, 4.358], [2.348, 7.326, 1.341]], "species": ["Rb", "O", "O", "Ta"], "frac_coords": [[0.500, 0.500, 0.500], [0.082, 0.082, 0.082], [0.918, 0.918, 0.918], [0.000, 0.000, 0.000]], "volume_a3_per_atom": 18.8, "formation_energy_uncorrected_ev_per_atom": -1.314, "space_group": "R-3m, No. 166", "relative_energy_ev_per_atom": 0.359, "dft_energy_ev_per_atom": -6.998}